First-principles (PBE) data for a relaxed structure of TaBe2Cl, as listed in Alexandria via LeMat-Bulk.

extended XYZ file:
```
16
Lattice="6.536 0.000 0.000 0.000 6.536 0.000 0.000 0.000 5.048" Properties=species:S:1:pos:R:3 pbc="T T T"
Ta 0.000 0.000 0.000
Ta 0.000 3.268 1.262
Ta 3.268 0.000 3.786
Ta 3.268 3.268 2.524
Be 1.419 1.634 3.155
Be 1.634 4.687 4.417
Be 1.634 5.116 1.893
Be 1.848 1.634 0.631
Be 4.687 4.902 0.631
Be 4.902 1.419 1.893
Be 4.902 1.848 4.417
Be 5.116 4.902 3.155
Cl 0.000 0.000 2.524
Cl 0.000 3.268 3.786
Cl 3.268 0.000 1.262
Cl 3.268 3.268 0.000
```

Calculated values
Uncorrected formation energy = 0.717 eV per atom
Mass density = 7.2 g/cm3
Space group = I-42d, No. 122
Fermi-level density of states = 0.628 states/eV/atom

---

First-principles (PBE) data for a relaxed structure of TaBe2Cl, as listed in Alexandria via LeMat-Bulk.

extended XYZ file:
```
4
Lattice="4.532 0.000 0.000 0.000 2.864 0.000 -1.768 0.000 4.240" Properties=species:S:1:pos:R:3 pbc="T T T"
Ta 0.000 0.000 0.000
Be -0.884 1.432 2.120
Be 1.382 0.000 2.120
Cl 2.266 1.432 0.000
```

Calculated values
Uncorrected formation energy = 0.616 eV per atom
Mass density = 7.1 g/cm3
Space group = P2/m, No. 10
Fermi-level density of states = 0.562 states/eV/atom

---

Number 1: magnetic moment 0.0 μB per cell, final energy -4.571 eV/atom. Number 2: magnetic moment 0.0 μB per cell, final energy -4.672 eV/atom.